(1)
{"formula": "CaPrGd2", "functional": "PBE", "state": "optimized geometry", "final_energy_ev_per_cell": -34.4, "ef_mev_per_atom": 129, "de_polymorph_mev_per_atom": 79, "rho_g_cm3": 5.9, "cell": [[0.000, 4.122, 4.122], [4.122, 0.000, 4.122], [4.122, 4.122, 0.000]], "species": ["Ca", "Pr", "Gd", "Gd"], "frac_coords": [[0.000, 0.000, 0.000], [0.500, 0.500, 0.500], [0.250, 0.250, 0.250], [0.750, 0.750, 0.750]]}

=====

(2)
{"formula": "Sr2FeBr", "functional": "PBE", "state": "optimized geometry", "e_form_raw_ev_per_atom": 0.054, "final_energy_ev_per_cell": -13.3, "de_polymorph_mev_per_atom": 353, "rho_g_cm3": 3.6, "cell": [[2.040, 1.178, 10.083], [-2.040, 1.178, 10.083], [0.000, -2.355, 10.083]], "species": ["Sr", "Sr", "Fe", "Br"], "frac_coords": [[0.000, 0.000, 0.000], [0.214, 0.214, 0.214], [0.474, 0.474, 0.474], [0.735, 0.735, 0.735]]}

=====

(3)
{"formula": "LiThPdN", "functional": "PBE", "state": "optimized geometry", "e_form_raw_ev_per_atom": -0.941, "final_energy_ev_per_cell": -53.2, "rho_g_cm3": 8.0, "cell": [[4.065, 0.000, 0.000], [0.000, 4.065, 0.000], [0.000, 0.000, 8.985]], "species": ["Li", "Li", "Th", "Th", "Pd", "Pd", "N", "N"], "frac_coords": [[0.250, 0.750, 0.000], [0.750, 0.250, 0.000], [0.250, 0.250, 0.369], [0.750, 0.750, 0.631], [0.250, 0.250, 0.812], [0.750, 0.750, 0.188], [0.250, 0.750, 0.500], [0.750, 0.250, 0.500]]}

=====

(4)
{"formula": "K2CdRh", "functional": "PBE", "state": "optimized geometry", "final_energy_ev_per_cell": -8.7, "ef_mev_per_atom": 434, "rho_g_cm3": 3.5, "cell": [[5.380, 0.000, 0.000], [0.000, 4.838, 0.000], [-1.183, 0.000, 5.365]], "species": ["K", "K", "Cd", "Rh"], "frac_coords": [[0.202, 0.000, 0.323], [0.798, 0.000, 0.677], [0.500, 0.500, 0.000], [0.000, 0.500, 0.000]]}

=====

(5)
{"formula": "Mn3SiCl", "functional": "PBE", "state": "optimized geometry", "e_form_raw_ev_per_atom": 0.563, "final_energy_ev_per_cell": -32.0, "de_polymorph_mev_per_atom": 0, "rho_g_cm3": 3.4, "cell": [[4.828, 0.000, 0.000], [0.000, 4.828, 0.000], [0.000, 0.000, 4.828]], "species": ["Mn", "Mn", "Mn", "Si", "Cl"], "frac_coords": [[0.000, 0.000, 0.500], [0.000, 0.500, 0.000], [0.500, 0.000, 0.000], [0.000, 0.000, 0.000], [0.500, 0.500, 0.500]]}

=====

(6)
{"formula": "Sc3AlN", "functional": "PBE", "state": "optimized geometry", "e_form_raw_ev_per_atom": -0.945, "final_energy_ev_per_cell": -35.8, "rho_g_cm3": 3.3, "cell": [[3.238, 0.000, 0.000], [0.000, 4.383, 0.000], [-0.012, 0.000, 6.195]], "species": ["Sc", "Sc", "Sc", "Al", "N"], "frac_coords": [[0.000, 0.000, 0.000], [0.499, 0.500, 0.754], [0.501, 0.500, 0.246], [0.000, 0.000, 0.500], [0.000, 0.500, 0.000]]}

=====

(7)
{"formula": "CaPuAsO6", "functional": "PBE", "state": "optimized geometry", "e_form_raw_ev_per_atom": -2.207, "final_energy_ev_per_cell": -141.2, "rho_g_cm3": 6.1, "cell": [[5.366, 0.000, 0.000], [-2.683, 4.648, 0.000], [0.000, 0.000, 9.923]], "species": ["Ca", "Ca", "Pu", "Pu", "As", "As", "O", "O", "O", "O", "O", "O", "O", "O", "O", "O", "O", "O"], "frac_coords": [[0.000, 0.000, 0.000], [0.000, 0.000, 0.500], [0.333, 0.667, 0.250], [0.667, 0.333, 0.750], [0.333, 0.667, 0.750], [0.667, 0.333, 0.250], [0.037, 0.383, 0.643], [0.037, 0.654, 0.857], [0.346, 0.383, 0.857], [0.346, 0.963, 0.643], [0.383, 0.037, 0.143], [0.383, 0.346, 0.357], [0.617, 0.654, 0.643], [0.617, 0.963, 0.857], [0.654, 0.037, 0.357], [0.654, 0.617, 0.143], [0.963, 0.346, 0.143], [0.963, 0.617, 0.357]]}

=====

(8)
{"formula": "Pr4Sm5Hg", "functional": "PBE", "state": "optimized geometry", "final_energy_ev_per_cell": -43.9, "ef_mev_per_atom": -84, "rho_g_cm3": 7.5, "cell": [[3.694, 0.000, 0.000], [0.000, 3.694, 0.000], [0.000, 0.000, 24.547]], "species": ["Pr", "Pr", "Pr", "Pr", "Sm", "Sm", "Sm", "Sm", "Sm", "Hg"], "frac_coords": [[0.000, 0.000, 0.105], [0.000, 0.000, 0.315], [0.000, 0.000, 0.685], [0.000, 0.000, 0.895], [0.500, 0.500, 0.000], [0.500, 0.500, 0.210], [0.500, 0.500, 0.419], [0.500, 0.500, 0.581], [0.500, 0.500, 0.790], [0.000, 0.000, 0.500]]}